# 1
10
Lattice="-5.228 -0.884 -4.409 -4.239 -1.290 5.284 -1.039 4.645 0.301" Properties=species:S:1:pos:R:3 comment="PBE-GGA La2Tc2Ge, relaxed" volume_a3_per_atom=22.68 energy_ev_per_atom=-7.179 de_polymorph_mev_per_atom=0.0 pbc="T T T"
La -4.377 1.278 2.953
La -7.554 0.664 1.450
La -6.128 1.192 -1.778
La -2.952 1.806 -0.274
Ge 0.000 0.000 0.000
Ge -4.733 -1.087 0.437
Tc -2.236 -0.597 1.497
Tc -3.732 -0.699 -2.101
Tc -5.734 -1.476 2.976
Tc -7.230 -1.577 -0.622


# 2
10
Lattice="-2.517 3.375 -0.202 -2.518 -1.700 2.985 8.436 4.042 6.378" Properties=species:S:1:pos:R:3 comment="PBE-GGA LaTc2Ge2, relaxed" volume_a3_per_atom=19.60 energy_ev_per_atom=-7.496 de_polymorph_mev_per_atom=0.0 pbc="T T T"
Tc -1.487 -0.944 2.766
Tc -1.468 1.609 1.197
Tc 4.887 6.661 6.396
Tc 4.868 4.109 7.965
La 2.133 4.578 5.925
La 1.267 1.139 3.236
Ge -0.542 2.561 5.559
Ge -1.944 1.405 3.718
Ge 5.344 4.312 5.443
Ge 3.942 3.156 3.603


# 3
5
Lattice="-2.036 2.208 1.926 -0.994 -2.727 2.075 5.792 1.458 7.758" Properties=species:S:1:pos:R:3 comment="PBE-GGA La2Tc2Ge, relaxed" volume_a3_per_atom=24.09 energy_ev_per_atom=-7.111 de_polymorph_mev_per_atom=67.8 pbc="T T T"
Ge 0.000 0.000 0.000
La 2.708 0.830 8.522
La 0.054 0.109 3.237
Tc 1.120 1.703 5.842
Tc 1.642 -0.764 5.917


Across the entries above, total magnetic moment takes the values 0.0 0.0 0.0 μB/f.u., respectively.